1.
{"formula": "Ce4CBr2", "functional": "PBE-GGA", "state": "relaxed", "lattice_angstrom": [[5.005, 0.000, 0.000], [0.000, 5.005, 0.000], [2.503, 2.503, 7.308]], "species": ["Ce", "Ce", "Br", "C", "Br", "Ce", "Ce"], "frac_coords": [[0.500, 0.000, 0.000], [0.168, 0.168, 0.664], [0.377, 0.377, 0.246], [0.000, 0.000, 0.000], [0.623, 0.623, 0.754], [0.000, 0.500, 0.000], [0.832, 0.832, 0.336]], "final_energy_ev_per_atom": -5.64, "dos_at_fermi_per_ev_fu": 18.534}

2.
{"formula": "Na2Mn2Se3", "functional": "PBE-GGA", "state": "relaxed", "lattice_angstrom": [[-6.001, 6.647, -5.450], [-7.548, -6.902, -2.299], [-6.098, 1.570, 3.756]], "species": ["Na", "Mn", "Se", "Na", "Mn", "Mn", "Se", "Na", "Na", "Se", "Mn", "Se", "Se", "Mn", "Mn", "Na", "Na", "Na", "Mn", "Se", "Se", "Se", "Se", "Se", "Mn", "Se", "Se", "Na"], "frac_coords": [[0.281, 0.719, 0.750], [0.554, 0.082, 0.759], [0.278, 0.427, 0.067], [0.191, 0.022, 0.853], [0.366, 0.212, 0.297], [0.212, 0.366, 0.797], [0.226, 0.996, 0.451], [0.719, 0.281, 0.250], [0.570, 0.430, 0.750], [0.427, 0.278, 0.567], [0.446, 0.918, 0.241], [0.853, 0.415, 0.450], [0.147, 0.585, 0.550], [0.634, 0.788, 0.703], [0.918, 0.446, 0.741], [0.430, 0.570, 0.250], [0.978, 0.809, 0.647], [0.809, 0.978, 0.147], [0.082, 0.554, 0.259], [0.996, 0.226, 0.951], [0.774, 0.004, 0.549], [0.004, 0.774, 0.049], [0.415, 0.853, 0.950], [0.722, 0.573, 0.933], [0.788, 0.634, 0.203], [0.573, 0.722, 0.433], [0.585, 0.147, 0.050], [0.022, 0.191, 0.353]], "final_energy_ev_per_atom": -5.21}

3.
{"formula": "ZnBi2PdO6", "functional": "PBE-GGA", "state": "relaxed", "lattice_angstrom": [[5.705, 0.000, 0.000], [2.853, 4.941, 0.000], [2.852, 1.647, 4.684]], "species": ["Bi", "Bi", "O", "O", "O", "O", "O", "O", "Zn", "Pd"], "frac_coords": [[0.537, 0.537, 0.390], [0.031, 0.031, 0.907], [0.595, 0.154, 0.264], [0.108, 0.476, 0.766], [0.650, 0.108, 0.766], [0.154, 0.988, 0.264], [0.476, 0.650, 0.766], [0.988, 0.595, 0.264], [0.805, 0.805, 0.585], [0.319, 0.319, 0.044]], "final_energy_ev_per_atom": -5.38}